[1]
Density functional theory data (PBE) for an optimized crystal structure of LiSmF4.

Lattice parameters (Å, degrees): 5.603 5.481 5.361 90.00 102.26 90.00
Space group Cm (No. 8)
Asymmetric unit:
Li: 0.000 0.000 0.000
Sm: 0.003 0.500 0.498
F: 0.187 0.239 0.249
F: 0.320 0.262 0.746

Computed properties:
* mass density: 4.8 g cm⁻³

***

[2]
Density functional theory data (PBE) for an optimized crystal structure of LiSmF4.

Lattice parameters (Å, degrees): 7.325 7.325 6.697 90.00 90.00 90.00
Space group I4_1md (No. 109)
Asymmetric unit:
Li: 0.000 0.000 0.000
Sm: 0.000 0.000 0.489
F: 0.000 0.192 0.761
F: 0.000 0.201 0.244

Computed properties:
* mass density: 4.3 g cm⁻³

***

[3]
Density functional theory data (PBE) for an optimized crystal structure of Li5Sm3F12.

Lattice parameters (Å, degrees): 12.509 12.509 12.509 90.00 90.00 90.00
Space group Ia-3d (No. 230)
Asymmetric unit:
Li: 0.000 0.000 0.000
Li: 0.000 0.250 0.375
Sm: 0.000 0.250 0.125
F: 0.034 0.058 0.653

Computed properties:
* mass density: 4.8 g cm⁻³

***

| no. | uncorrected energy (eV/atom) | formation energy from raw total energies (eV per atom) |
| --- | --- | --- |
| 1 | -6.040 | -3.687 |
| 2 | -5.960 | -3.607 |
| 3 | -5.596 | -3.287 |